## Ho2MgGa4Au3 (GGA-PBE)

Data for a relaxed structure of Ho2MgGa4Au3.

Unit cell a=4.1561 b=4.1561 c=11.5799 alpha=90.00 beta=90.00 gamma=90.00
With the nearest neighbours (Å) after each atom.
Space group P-4m2 (No. 115)
Symmetry-distinct sites (fractional):
Ho (0.0000, 0.5000, 0.2468) [2 per cell]  4 Au 3.19, 8 Ga 3.19-3.53
Mg (0.0000, 0.0000, 0.5000) [1 per cell]  4 Ga 2.68, 4 Au 2.94
Ga (0.0000, 0.0000, 0.0000) [1 per cell]  4 Au 2.63, 4 Ga 2.94
Ga (0.0000, 0.5000, 0.6455) [2 per cell]  3 Au 2.49-2.68, 2 Mg 2.68
Ga (0.5000, 0.5000, 0.0000) [1 per cell]  4 Au 2.63, 4 Ga 2.94
Au (0.0000, 0.5000, 0.8605) [2 per cell]  5 Ga 2.49-2.63
Au (0.5000, 0.5000, 0.5000) [1 per cell]  4 Ga 2.68, 4 Mg 2.94

Results
- energy relative to the elements (eV/f.u.) = -5.65
- mass density (g cm⁻³) = 10.2

=====

## BaMgTl5 (GGA-PBE)

Data for a relaxed structure of BaMgTl5.

Unit cell a=5.0780 b=5.0780 c=8.7351 alpha=90.00 beta=90.00 gamma=90.00
With the nearest neighbours (Å) after each atom.
Space group P4/mmm (No. 123)
Symmetry-distinct sites (fractional):
Ba (0.0000, 0.0000, 0.0000) [1 per cell]  12 Tl 3.59-3.66
Mg (0.5000, 0.5000, 0.5000) [1 per cell]  8 Tl 3.07
Tl (0.0000, 0.5000, 0.3026) [4 per cell]  2 Mg 3.07
Tl (0.5000, 0.5000, 0.0000) [1 per cell]  4 Ba 3.59, 8 Tl 3.66

Results
- energy relative to the elements (eV/f.u.) = -0.68
- mass density (g cm⁻³) = 8.7
- relative energy among the computed polymorphs (eV/f.u.) = 0.31

=====

## Tb8TmSc4 (GGA-PBE)

Data for a relaxed structure of Tb8TmSc4.

Unit cell a=6.9587 b=6.9587 c=27.9735 alpha=90.00 beta=90.00 gamma=120.00
With the nearest neighbours (Å) after each atom.
Space group R-3m (No. 166, hexagonal axes)
Symmetry-distinct sites (fractional):
Tb (0.0000, 0.0000, 0.2115) [6 per cell]  9 Tb 3.57-3.81, 3 Sc 3.96
Tb (0.0230, 0.5115, 0.7596) [18 per cell]  1 Tm 2.98, 3 Sc 3.20-3.33, 2 Tb 3.24
Tm (0.0000, 0.0000, 0.5000) [3 per cell]  6 Tb 2.98
Sc (0.0000, 0.0000, 0.0000) [3 per cell]  6 Tb 3.20, 6 Sc 3.48
Sc (0.0000, 0.5000, 0.0000) [9 per cell]  4 Tb 3.33, 6 Sc 3.48

Results
- energy relative to the elements (eV/f.u.) = 3.32
- mass density (g cm⁻³) = 6.9

=====

## SmZn6Au4 (GGA-PBE)

Data for a relaxed structure of SmZn6Au4.

Unit cell a=7.4741 b=7.4741 c=4.1689 alpha=90.00 beta=90.00 gamma=120.00
With the nearest neighbours (Å) after each atom.
Space group P-6m2 (No. 187)
Symmetry-distinct sites (fractional):
Sm (0.0000, 0.0000, 0.0000) [1 per cell]  6 Au 3.26, 6 Zn 3.38
Zn (0.2056, 0.4111, 0.5000) [3 per cell]  4 Au 2.59-2.66, 2 Zn 2.86
Zn (0.5386, 0.0773, 0.0000) [3 per cell]  5 Au 2.66-2.71, 2 Zn 2.87
Au (0.3333, 0.6667, 0.0000) [1 per cell]  9 Zn 2.66
Au (0.3874, 0.1937, 0.5000) [3 per cell]  6 Zn 2.59-2.71

Results
- energy relative to the elements (eV/f.u.) = -3.97
- mass density (g cm⁻³) = 11.0

=====

## AgHg2Os (GGA-PBE)

Data for a relaxed structure of AgHg2Os.

Unit cell a=2.9458 b=2.9458 c=8.5601 alpha=90.00 beta=90.00 gamma=90.00
With the nearest neighbours (Å) after each atom.
Space group P4/mmm (No. 123)
Symmetry-distinct sites (fractional):
Ag (0.0000, 0.0000, 0.0000) [1 per cell]  4 Ag 2.95, 8 Hg 3.05
Hg (0.5000, 0.5000, 0.2595) [2 per cell]  4 Os 2.93, 4 Hg 2.95, 4 Ag 3.05
Os (0.0000, 0.0000, 0.5000) [1 per cell]  8 Hg 2.93, 4 Os 2.95

Results
- energy relative to the elements (eV/f.u.) = 2.64
- mass density (g cm⁻³) = 15.6
- relative energy among the computed polymorphs (eV/f.u.) = 0.31

=====

## Zn2CuTe (GGA-PBE)

Data for a relaxed structure of Zn2CuTe.

Unit cell a=4.1664 b=4.0711 c=5.3619 alpha=90.00 beta=109.04 gamma=90.00
With the nearest neighbours (Å) after each atom.
Space group Pm (No. 6)
Symmetry-distinct sites (fractional):
Zn (0.0000, 0.0000, 0.0000) [1 per cell]  2 Cu 2.44-2.45
Zn (0.4523, 0.5000, 0.9422) [1 per cell]  2 Cu 2.57, 2 Te 2.78-2.83, 2 Zn 2.86
Cu (0.6038, 0.0000, 0.2510) [1 per cell]  4 Zn 2.44-2.57, 2 Te 2.61
Te (0.7884, 0.5000, 0.5704) [1 per cell]  2 Cu 2.61, 2 Zn 2.78-2.83

Results
- mass density (g cm⁻³) = 6.2
- relative energy among the computed polymorphs (eV/f.u.) = 0.00

=====

## K2AlHg4 (GGA-PBE)

Data for a relaxed structure of K2AlHg4.

Unit cell a=5.2775 b=5.2775 c=17.8453 alpha=90.00 beta=90.00 gamma=90.00
With the nearest neighbours (Å) after each atom.
Space group I4/mmm (No. 139)
Symmetry-distinct sites (fractional):
K (0.0000, 0.0000, 0.1407) [4 per cell]  9 Hg 3.46-3.76
Al (0.0000, 0.0000, 0.5000) [2 per cell]  6 Hg 2.64-2.95
Hg (0.0000, 0.0000, 0.3345) [4 per cell]  1 Al 2.95
Hg (0.0000, 0.5000, 0.0000) [4 per cell]  2 Al 2.64

Results
- energy relative to the elements (eV/f.u.) = -0.81
- mass density (g cm⁻³) = 6.1

=====

## Np2TeAs (GGA-PBE)

Data for a relaxed structure of Np2TeAs.

Unit cell a=3.6247 b=3.6247 c=7.2975 alpha=90.00 beta=90.00 gamma=90.00
With the nearest neighbours (Å) after each atom.
Space group P4/mmm (No. 123)
Symmetry-distinct sites (fractional):
Np (0.0000, 0.0000, 0.2242) [2 per cell]  4 As 3.04, 4 Te 3.26, 1 Np 3.27
Te (0.5000, 0.5000, 0.5000) [1 per cell]  8 Np 3.26, 4 Te 3.62, 2 As 3.65
As (0.5000, 0.5000, 0.0000) [1 per cell]  8 Np 3.04

Results
- mass density (g cm⁻³) = 11.7
- relative energy among the computed polymorphs (eV/f.u.) = 0.37